# PBE Ce2ZrZn, relaxed
data_Ce2ZrZn
_cell_length_a 3.0490
_cell_length_b 3.0490
_cell_length_c 34.5142
_cell_angle_alpha 90.00
_cell_angle_beta 90.00
_cell_angle_gamma 120.00
_symmetry_space_group_name_H-M 'R -3 m'
_symmetry_Int_Tables_number 166
_symmetry_space_group_name_Hall '-R 3 2"'
loop_
_atom_site_label
_atom_site_type_symbol
_atom_site_fract_x
_atom_site_fract_y
_atom_site_fract_z
Ce1 Ce 0.0000 0.0000 0.0898
Zr1 Zr 0.0000 0.0000 0.0000
Zn1 Zn 0.0000 0.0000 0.5000
# Calculated formation energy   0.152 eV/atom
# N(E_F)   1.67 states/eV/atom
# Distance to the lowest polymorph of the same formula   185 meV/atom
# VASP energy   -5.270 eV/atom

# PBE Pm2Pr3Sm4, relaxed
data_Pm2Pr3Sm4
_cell_length_a 11.665
_cell_length_b 5.899
_cell_length_c 9.315
_cell_angle_alpha 90.00
_cell_angle_beta 102.11
_cell_angle_gamma 90.00
_symmetry_space_group_name_H-M 'C 1 2/m 1'
_symmetry_Int_Tables_number 12
_symmetry_space_group_name_Hall '-C 2y'
loop_
_atom_site_label
_atom_site_type_symbol
_atom_site_fract_x
_atom_site_fract_y
_atom_site_fract_z
Pm1 Pm 0.064 0.000 0.303
Pr1 Pr 0.000 0.500 0.000
Pr2 Pr 0.118 0.500 0.687
Sm1 Sm 0.178 0.000 0.961
Sm2 Sm 0.228 0.500 0.368
# Calculated formation energy   0.094 eV/atom
# N(E_F)   1.61 states/eV/atom
# Distance to the lowest polymorph of the same formula   30 meV/atom
# VASP energy   -4.653 eV/atom

# PBE KCd5, relaxed
data_KCd5
_cell_length_a 4.763
_cell_length_b 13.157
_cell_length_c 5.234
_cell_angle_alpha 90.00
_cell_angle_beta 90.00
_cell_angle_gamma 90.00
_symmetry_space_group_name_H-M 'C m m m'
_symmetry_Int_Tables_number 65
_symmetry_space_group_name_Hall '-C 2 2'
loop_
_atom_site_label
_atom_site_type_symbol
_atom_site_fract_x
_atom_site_fract_y
_atom_site_fract_z
K1 K 0.000 0.000 0.000
Cd1 Cd 0.000 0.173 0.500
Cd2 Cd 0.000 0.316 0.000
Cd3 Cd 0.000 0.500 0.500
# Calculated formation energy   0.033 eV/atom
# N(E_F)   0.33 states/eV/atom
# Distance to the lowest polymorph of the same formula   102 meV/atom
# VASP energy   -0.912 eV/atom

# PBE Nb2GaFeBr, relaxed
data_Nb2GaFeBr
_cell_length_a 4.937
_cell_length_b 4.937
_cell_length_c 4.236
_cell_angle_alpha 90.00
_cell_angle_beta 90.00
_cell_angle_gamma 90.00
_symmetry_space_group_name_H-M 'P 4/m m m'
_symmetry_Int_Tables_number 123
_symmetry_space_group_name_Hall '-P 4 2'
loop_
_atom_site_label
_atom_site_type_symbol
_atom_site_fract_x
_atom_site_fract_y
_atom_site_fract_z
Nb1 Nb 0.000 0.500 0.000
Ga1 Ga 0.000 0.000 0.000
Fe1 Fe 0.000 0.000 0.500
Br1 Br 0.500 0.500 0.500
# N(E_F)   1.86 states/eV/atom
# VASP energy   -5.331 eV/atom
# Formation energy without anion corrections   641 kJ/mol of formula units

Question: Which of these has the highest N(E_F)?
Answer: Nb2GaFeBr